Density functional theory data (GGA-PBE) for an optimized crystal structure of TaTcSb2.

Computed properties:
The theoretical density comes out at 10.2 g/cm³. The value obtained for the magnetization is 0.51 μB per formula unit. The excess energy over the best structure of this formula in the dataset comes out at 0.640 eV per atom.

Cell and atoms, written as CIF:
```
data_TaTcSb2
_chemical_formula_sum 'Ta4 Tc4 Sb8'
_cell_length_a 4.227
_cell_length_b 4.227
_cell_length_c 19.021
_cell_angle_alpha 90.00
_cell_angle_beta 90.00
_cell_angle_gamma 90.00
_symmetry_space_group_name_H-M 'I -4 2 d'
_symmetry_Int_Tables_number 122
_symmetry_space_group_name_Hall 'I -4 2bw'
loop_
_atom_site_label
_atom_site_fract_x
_atom_site_fract_y
_atom_site_fract_z
_atom_site_occupancy
Ta1 0.000 0.000 0.000 1
Tc1 0.000 0.000 0.500 1
Sb1 0.240 0.250 0.625 1
```